La9SmTh2: relaxed, PBE-GGA.

Cell: 5.191 5.191 15.620 Å, 90.00 90.00 90.00°
Element x y z (fractional)
La: 0.000 0.000 0.000
La: 0.000 0.000 0.334
La: 0.000 0.000 0.666
La: 0.000 0.500 0.171
La: 0.000 0.500 0.500
La: 0.000 0.500 0.829
La: 0.500 0.000 0.171
La: 0.500 0.000 0.500
La: 0.500 0.000 0.829
Sm: 0.500 0.500 0.000
Th: 0.500 0.500 0.334
Th: 0.500 0.500 0.666

Space group: P4/mmm (123)
Total magnetic moment (Bohr magnetons per cell): 0.00
Uncorrected energy (eV/cell): -63.5
E_form (eV/atom): 0.03


La2SmTh2: relaxed, PBE-GGA.

Cell: 3.630 3.630 44.880 Å, 90.00 90.00 120.00°
Element x y z (fractional)
La: 0.000 0.000 0.204
La: 0.000 0.000 0.796
La: 0.333 0.667 0.463
La: 0.333 0.667 0.871
La: 0.667 0.333 0.129
La: 0.667 0.333 0.537
Sm: 0.000 0.000 0.000
Sm: 0.333 0.667 0.667
Sm: 0.667 0.333 0.333
Th: 0.000 0.000 0.399
Th: 0.000 0.000 0.601
Th: 0.333 0.667 0.065
Th: 0.333 0.667 0.268
Th: 0.667 0.333 0.732
Th: 0.667 0.333 0.935

Space group: R-3m (166)
Total magnetic moment (Bohr magnetons per cell): 0.00
E above lowest polymorph (meV/atom): 0
Uncorrected energy (eV/cell): -87.7
E_form (eV/atom): 0.03


LaSm6Th3: relaxed, PBE-GGA.

Cell: 10.543 5.725 11.600 Å, 90.00 95.25 90.00°
Element x y z (fractional)
La: 0.044 0.250 0.332
La: 0.956 0.750 0.668
Sm: 0.160 0.750 0.186
Sm: 0.161 0.250 0.694
Sm: 0.193 0.750 0.464
Sm: 0.218 0.750 0.916
Sm: 0.348 0.250 0.239
Sm: 0.453 0.250 0.897
Sm: 0.547 0.750 0.103
Sm: 0.652 0.750 0.761
Sm: 0.782 0.250 0.084
Sm: 0.807 0.250 0.536
Sm: 0.839 0.750 0.306
Sm: 0.840 0.250 0.814
Th: 0.102 0.250 0.018
Th: 0.365 0.750 0.696
Th: 0.463 0.250 0.565
Th: 0.537 0.750 0.435
Th: 0.635 0.250 0.304
Th: 0.898 0.750 0.982

Space group: P2_1/m (11)
Total magnetic moment (Bohr magnetons per cell): 0.00
Uncorrected energy (eV/cell): -107.6
E_form (eV/atom): 0.17


La3Sm4Th: relaxed, PBE-GGA.

Cell: 3.519 11.955 13.311 Å, 90.00 90.00 90.00°
Element x y z (fractional)
La: 0.000 0.000 0.000
La: 0.000 0.500 0.231
La: 0.000 0.500 0.769
La: 0.500 0.000 0.269
La: 0.500 0.000 0.731
La: 0.500 0.500 0.500
Sm: 0.000 0.250 0.368
Sm: 0.000 0.250 0.632
Sm: 0.000 0.750 0.368
Sm: 0.000 0.750 0.632
Sm: 0.500 0.250 0.132
Sm: 0.500 0.250 0.868
Sm: 0.500 0.750 0.132
Sm: 0.500 0.750 0.868
Th: 0.000 0.000 0.500
Th: 0.500 0.500 0.000

Space group: Immm (71)
Total magnetic moment (Bohr magnetons per cell): 0.00
Uncorrected energy (eV/cell): -80.1
E_form (eV/atom): 0.13


no.,Fermi-level density of states (states/eV per cell)
1,18.49
2,25.64
3,27.11
4,25.88